DFT (PBE-GGA) results for a relaxed K2NdAgF6 crystal.

Cell: 6.367 6.547 11.019 Å, 90.00 123.19 90.00°
Element x y z (fractional)
K: 0.220 0.051 0.242
K: 0.220 0.449 0.742
K: 0.780 0.551 0.258
K: 0.780 0.949 0.758
Nd: 0.500 0.000 0.000
Nd: 0.500 0.500 0.500
Ag: 0.000 0.000 0.500
Ag: 0.000 0.500 0.000
F: 0.163 0.196 0.950
F: 0.163 0.304 0.450
F: 0.236 0.724 0.926
F: 0.236 0.776 0.426
F: 0.387 0.061 0.767
F: 0.387 0.439 0.267
F: 0.613 0.561 0.733
F: 0.613 0.939 0.233
F: 0.764 0.224 0.574
F: 0.764 0.276 0.074
F: 0.837 0.696 0.550
F: 0.837 0.804 0.050

Output
Fermi-level density of states: 0.0 states/eV/f.u.
SG: P2_1/c
energy relative to the lowest polymorph listed for this composition: 0.000 eV/atom
calculated volume: 384.4 Å³ per cell
formation energy (no corrections): -2.9136 eV per atom